Density functional theory data (PBE) for crystalline RbHf3P5 at its relaxed geometry.

Geometry as CIF:
```
data_RbHf3P5
_chemical_formula_sum 'Rb1 Hf3 P5'
_cell_length_a 5.9761
_cell_length_b 5.9761
_cell_length_c 6.0714
_cell_angle_alpha 90.00
_cell_angle_beta 90.00
_cell_angle_gamma 120.00
_symmetry_space_group_name_H-M 'P 6/m m m'
_symmetry_Int_Tables_number 191
_symmetry_space_group_name_Hall '-P 6 2'
loop_
_atom_site_label
_atom_site_fract_x
_atom_site_fract_y
_atom_site_fract_z
Rb1 0.0000 0.0000 0.0000
Hf1 0.0000 0.5000 0.5000
P1 0.0000 0.0000 0.5000
P2 0.3333 0.6667 0.1812
```

# Si2Tc2O5 PBE optimized geometry
data_Si2Tc2O5
_chemical_formula_sum 'Si2 Tc2 O5'
_cell_length_a 3.945
_cell_length_b 3.945
_cell_length_c 6.456
_cell_angle_alpha 90.00
_cell_angle_beta 90.00
_cell_angle_gamma 90.00
_symmetry_space_group_name_H-M 'P 4/m m m'
_symmetry_Int_Tables_number 123
_symmetry_space_group_name_Hall '-P 4 2'
loop_
_atom_site_label
_atom_site_fract_x
_atom_site_fract_y
_atom_site_fract_z
Si1 0.000 0.000 0.000
Si2 0.000 0.000 0.500
Tc1 0.500 0.500 0.178
O1 0.000 0.500 0.233
O2 0.500 0.500 0.500
# energy relative to the lowest polymorph listed for this composition	252	meV per atom

Density functional theory data (PBE) for crystalline KZn4AsP2 at its relaxed geometry.

Geometry as CIF:
```
data_KZn4AsP2
_chemical_formula_sum 'K3 Zn12 As3 P6'
_cell_length_a 4.0818
_cell_length_b 4.0818
_cell_length_c 34.6991
_cell_angle_alpha 90.00
_cell_angle_beta 90.00
_cell_angle_gamma 120.00
_symmetry_space_group_name_H-M 'R -3 m'
_symmetry_Int_Tables_number 166
_symmetry_space_group_name_Hall '-R 3 2"'
loop_
_atom_site_label
_atom_site_fract_x
_atom_site_fract_y
_atom_site_fract_z
K1 0.0000 0.0000 0.0000
Zn1 0.0000 0.0000 0.1985
Zn2 0.0000 0.0000 0.4123
As1 0.0000 0.0000 0.5000
P1 0.0000 0.0000 0.2668
```

# TaNiPd PBE optimized geometry
data_TaNiPd
_chemical_formula_sum 'Ta4 Ni4 Pd4'
_cell_length_a 5.822
_cell_length_b 5.822
_cell_length_c 5.822
_cell_angle_alpha 90.00
_cell_angle_beta 90.00
_cell_angle_gamma 90.00
_symmetry_space_group_name_H-M 'F -4 3 m'
_symmetry_Int_Tables_number 216
_symmetry_space_group_name_Hall 'F -4 2 3'
loop_
_atom_site_label
_atom_site_fract_x
_atom_site_fract_y
_atom_site_fract_z
Ta1 0.000 0.000 0.000
Ni1 0.250 0.250 0.750
Pd1 0.000 0.000 0.500
# energy relative to the lowest polymorph listed for this composition	0	meV per atom

Density functional theory data (PBE) for crystalline DyYBC2 at its relaxed geometry.

Geometry as CIF:
```
data_DyYBC2
_chemical_formula_sum 'Dy2 Y2 B2 C4'
_cell_length_a 5.122
_cell_length_b 5.121
_cell_length_c 6.039
_cell_angle_alpha 90.00
_cell_angle_beta 114.27
_cell_angle_gamma 90.00
_symmetry_space_group_name_H-M 'C 1 m 1'
_symmetry_Int_Tables_number 8
loop_
_symmetry_equiv_pos_as_xyz
'x,y,z'
'x,-y,z'
'x+1/2,y+1/2,z'
'x+1/2,-y+1/2,z'
loop_
_atom_site_label
_atom_site_fract_x
_atom_site_fract_y
_atom_site_fract_z
Dy1 0.000 0.000 0.000
Y1 0.197 0.500 0.406
B1 0.348 0.000 0.702
C1 0.210 0.000 0.431
C2 0.486 0.000 0.973
```

# CsRbCuP PBE optimized geometry
data_CsRbCuP
_chemical_formula_sum 'Cs2 Rb2 Cu2 P2'
_cell_length_a 6.512
_cell_length_b 6.131
_cell_length_c 6.573
_cell_angle_alpha 90.00
_cell_angle_beta 108.97
_cell_angle_gamma 90.00
_symmetry_space_group_name_H-M 'P 1 21/m 1'
_symmetry_Int_Tables_number 11
loop_
_symmetry_equiv_pos_as_xyz
'x,y,z'
'-x,-y,-z'
'-x,y+1/2,-z'
'x,-y+1/2,z'
loop_
_atom_site_label
_atom_site_fract_x
_atom_site_fract_y
_atom_site_fract_z
Cs1 0.025 0.250 0.186
Rb1 0.317 0.750 0.480
Cu1 0.500 0.000 0.000
P1 0.291 0.250 0.775
# energy relative to the lowest polymorph listed for this composition	0	meV per atom

Density functional theory data (PBE) for crystalline Pr2CoCuSi4 at its relaxed geometry.

Geometry as CIF:
```
data_Pr2CoCuSi4
_chemical_formula_sum 'Pr4 Co2 Cu2 Si8'
_cell_length_a 4.079
_cell_length_b 4.191
_cell_length_c 16.626
_cell_angle_alpha 90.00
_cell_angle_beta 90.00
_cell_angle_gamma 90.00
_symmetry_space_group_name_H-M 'A m m 2'
_symmetry_Int_Tables_number 38
loop_
_symmetry_equiv_pos_as_xyz
'x,y,z'
'-x,-y,z'
'-x,y,z'
'x,-y,z'
'x,y+1/2,z+1/2'
'-x,-y+1/2,z+1/2'
'-x,y+1/2,z+1/2'
'x,-y+1/2,z+1/2'
loop_
_atom_site_label
_atom_site_fract_x
_atom_site_fract_y
_atom_site_fract_z
Pr1 0.000 0.000 0.000
Pr2 0.500 0.000 0.212
Co1 0.500 0.000 0.420
Cu1 0.000 0.000 0.779
Si1 0.000 0.000 0.358
Si2 0.000 0.000 0.639
Si3 0.500 0.000 0.558
Si4 0.500 0.000 0.859
```

# PmCdNi PBE optimized geometry
data_PmCdNi
_chemical_formula_sum 'Pm4 Cd4 Ni4'
_cell_length_a 6.795
_cell_length_b 6.795
_cell_length_c 6.795
_cell_angle_alpha 90.00
_cell_angle_beta 90.00
_cell_angle_gamma 90.00
_symmetry_space_group_name_H-M 'F -4 3 m'
_symmetry_Int_Tables_number 216
_symmetry_space_group_name_Hall 'F -4 2 3'
loop_
_atom_site_label
_atom_site_fract_x
_atom_site_fract_y
_atom_site_fract_z
Pm1 0.000 0.000 0.000
Cd1 0.250 0.250 0.750
Ni1 0.250 0.250 0.250
# energy relative to the lowest polymorph listed for this composition	585	meV per atom

# HfCoSiAu PBE optimized geometry
data_HfCoSiAu
_chemical_formula_sum 'Hf4 Co4 Si4 Au4'
_cell_length_a 6.264
_cell_length_b 6.264
_cell_length_c 6.264
_cell_angle_alpha 90.00
_cell_angle_beta 90.00
_cell_angle_gamma 90.00
_symmetry_space_group_name_H-M 'F -4 3 m'
_symmetry_Int_Tables_number 216
_symmetry_space_group_name_Hall 'F -4 2 3'
loop_
_atom_site_label
_atom_site_fract_x
_atom_site_fract_y
_atom_site_fract_z
Hf1 0.000 0.000 0.000
Co1 0.250 0.250 0.750
Si1 0.250 0.250 0.250
Au1 0.000 0.000 0.500
# energy relative to the lowest polymorph listed for this composition	62	meV per atom

Density functional theory data (PBE) for crystalline UNi4Pd at its relaxed geometry.

Geometry as CIF:
```
data_UNi4Pd
_chemical_formula_sum 'U4 Ni16 Pd4'
_cell_length_a 6.860
_cell_length_b 6.860
_cell_length_c 6.860
_cell_angle_alpha 90.00
_cell_angle_beta 90.00
_cell_angle_gamma 90.00
_symmetry_space_group_name_H-M 'F -4 3 m'
_symmetry_Int_Tables_number 216
_symmetry_space_group_name_Hall 'F -4 2 3'
loop_
_atom_site_label
_atom_site_fract_x
_atom_site_fract_y
_atom_site_fract_z
U1 0.000 0.000 0.000
Ni1 0.125 0.125 0.375
Pd1 0.250 0.250 0.750
```

# LiNdTm PBE optimized geometry
data_LiNdTm
_chemical_formula_sum 'Li4 Nd4 Tm4'
_cell_length_a 7.164
_cell_length_b 7.164
_cell_length_c 7.164
_cell_angle_alpha 90.00
_cell_angle_beta 90.00
_cell_angle_gamma 90.00
_symmetry_space_group_name_H-M 'F -4 3 m'
_symmetry_Int_Tables_number 216
_symmetry_space_group_name_Hall 'F -4 2 3'
loop_
_atom_site_label
_atom_site_fract_x
_atom_site_fract_y
_atom_site_fract_z
Li1 0.000 0.000 0.000
Nd1 0.250 0.250 0.750
Tm1 0.250 0.250 0.250
# energy relative to the lowest polymorph listed for this composition	0	meV per atom

# Al2Pd2O5 PBE optimized geometry
data_Al2Pd2O5
_chemical_formula_sum 'Al2 Pd2 O5'
_cell_length_a 3.741
_cell_length_b 3.741
_cell_length_c 7.804
_cell_angle_alpha 90.00
_cell_angle_beta 90.00
_cell_angle_gamma 90.00
_symmetry_space_group_name_H-M 'P 4/m m m'
_symmetry_Int_Tables_number 123
_symmetry_space_group_name_Hall '-P 4 2'
loop_
_atom_site_label
_atom_site_fract_x
_atom_site_fract_y
_atom_site_fract_z
Al1 0.000 0.000 0.000
Al2 0.000 0.000 0.500
Pd1 0.500 0.500 0.223
O1 0.000 0.500 0.149
O2 0.500 0.500 0.500
# energy relative to the lowest polymorph listed for this composition	796	meV per atom

Number 1: total DFT energy (no corrections) -63.1 eV for the cell shown. Number 2: total DFT energy (no corrections) -61.0 eV for the cell shown. Number 3: total DFT energy (no corrections) -72.3 eV for the cell shown. Number 4: total DFT energy (no corrections) -88.8 eV for the cell shown. Number 5: total DFT energy (no corrections) -76.9 eV for the cell shown. Number 6: total DFT energy (no corrections) -24.0 eV for the cell shown. Number 7: total DFT energy (no corrections) -95.1 eV for the cell shown. Number 8: total DFT energy (no corrections) -40.4 eV for the cell shown. Number 9: total DFT energy (no corrections) -104.8 eV for the cell shown. Number 10: total DFT energy (no corrections) -163.5 eV for the cell shown. Number 11: total DFT energy (no corrections) -38.7 eV for the cell shown. Number 12: total DFT energy (no corrections) -48.1 eV for the cell shown.